Entry 1:
# La2MgSe (GGA-PBEsol, relaxed)
# VASP energy: -74.846 eV for the cell shown
# Formation energy (no corrections): -2.45 eV per formula unit
# ΔE to the lowest computed polymorph: 0.1604 eV/atom
# M_tot: 0.0000 μB/atom
# Calculated volume: 476.97 Å³/cell
data_La2MgSe
_cell_length_a 8.547
_cell_length_b 8.547
_cell_length_c 6.530
_cell_angle_alpha 90.00
_cell_angle_beta 90.00
_cell_angle_gamma 90.00
_space_group_name_H-M_alt 'I -4 2 d'
_space_group_IT_number 122
_space_group_name_Hall 'I -4 2bw'
loop_
_atom_site_label
_atom_site_type_symbol
_atom_site_fract_x
_atom_site_fract_y
_atom_site_fract_z
_atom_site_occupancy
La1 La 0.211 0.750 0.125 1
Mg1 Mg 0.000 0.000 0.500 1
Se1 Se 0.000 0.000 0.000 1



Entry 2:
# La2MgSe (GGA-PBEsol, relaxed)
# VASP energy: -37.527 eV for the cell shown
# Formation energy (no corrections): -2.50 eV per formula unit
# ΔE to the lowest computed polymorph: 0.1474 eV/atom
# M_tot: 0.0000 μB/atom
# Calculated volume: 211.27 Å³/cell
data_La2MgSe
_cell_length_a 4.454
_cell_length_b 4.454
_cell_length_c 10.649
_cell_angle_alpha 90.00
_cell_angle_beta 90.00
_cell_angle_gamma 90.00
_space_group_name_H-M_alt 'I -4 m 2'
_space_group_IT_number 119
_space_group_name_Hall 'I -4 -2'
loop_
_atom_site_label
_atom_site_type_symbol
_atom_site_fract_x
_atom_site_fract_y
_atom_site_fract_z
_atom_site_occupancy
La1 La 0.000 0.000 0.000 1
La2 La 0.000 0.500 0.250 1
Mg1 Mg 0.000 0.000 0.500 1
Se1 Se 0.000 0.500 0.750 1



Entry 3:
# LaMgSe (GGA-PBEsol, relaxed)
# VASP energy: -27.147 eV for the cell shown
# Formation energy (no corrections): -2.66 eV per formula unit
# M_tot: 0.0001 μB/atom
# Calculated volume: 152.48 Å³/cell
data_LaMgSe
_cell_length_a 3.582
_cell_length_b 3.582
_cell_length_c 11.882
_cell_angle_alpha 90.00
_cell_angle_beta 90.00
_cell_angle_gamma 90.00
_space_group_name_H-M_alt 'I 4 m m'
_space_group_IT_number 107
_space_group_name_Hall 'I 4 -2'
loop_
_atom_site_label
_atom_site_type_symbol
_atom_site_fract_x
_atom_site_fract_y
_atom_site_fract_z
_atom_site_occupancy
La1 La 0.000 0.000 0.000 1
Mg1 Mg 0.000 0.000 0.717 1
Se1 Se 0.000 0.000 0.352 1



Entry 4:
# La2MgSe4 (GGA-PBEsol, relaxed)
# VASP energy: -159.052 eV for the cell shown
# Formation energy (no corrections): -11.95 eV per formula unit
# ΔE to the lowest computed polymorph: 0.0485 eV/atom
# M_tot: 0.0000 μB/atom
# Calculated volume: 867.50 Å³/cell
data_La2MgSe4
_cell_length_a 14.427
_cell_length_b 8.675
_cell_length_c 6.931
_cell_angle_alpha 90.00
_cell_angle_beta 90.00
_cell_angle_gamma 90.00
_space_group_name_H-M_alt 'P n m a'
_space_group_IT_number 62
_space_group_name_Hall '-P 2ac 2n'
loop_
_atom_site_label
_atom_site_type_symbol
_atom_site_fract_x
_atom_site_fract_y
_atom_site_fract_z
_atom_site_occupancy
La1 La 0.000 0.000 0.000 1
La2 La 0.228 0.250 0.480 1
Mg1 Mg 0.099 0.750 0.410 1
Se1 Se 0.066 0.250 0.742 1
Se2 Se 0.089 0.750 0.775 1
Se3 Se 0.174 0.519 0.234 1



Q: Which of these has the highest formation energy (no corrections)?
A: number 1